# VNiTe3 GGA-PBE optimized geometry
data_VNiTe3
_cell_length_a 5.157
_cell_length_b 5.157
_cell_length_c 5.157
_cell_angle_alpha 90.00
_cell_angle_beta 90.00
_cell_angle_gamma 90.00
_space_group_name_H-M_alt 'P m -3 m'
_space_group_IT_number 221
_space_group_name_Hall '-P 4 2 3'
loop_
_atom_site_label
_atom_site_type_symbol
_atom_site_fract_x
_atom_site_fract_y
_atom_site_fract_z
V1 V 0.000 0.000 0.000
Ni1 Ni 0.500 0.500 0.500
Te1 Te 0.000 0.000 0.500
# Formation energy from raw total energies (meV/atom): 697
# Total magnetization (μB/f.u.): 0.03
# Mass density (g cm⁻³): 6.0
# D(E_F) (states/eV/f.u.): 5.6
# Energy above the most stable polymorph in this dataset (meV/atom): 808

***

# V2NiTe5 GGA-PBE optimized geometry
data_V2NiTe5
_cell_length_a 5.353
_cell_length_b 13.234
_cell_length_c 12.628
_cell_angle_alpha 90.00
_cell_angle_beta 90.00
_cell_angle_gamma 90.00
_space_group_name_H-M_alt 'C m c m'
_space_group_IT_number 63
_space_group_name_Hall '-C 2c 2'
loop_
_atom_site_label
_atom_site_type_symbol
_atom_site_fract_x
_atom_site_fract_y
_atom_site_fract_z
V1 V 0.000 0.153 0.062
Ni1 Ni 0.000 0.190 0.750
Te1 Te 0.000 0.045 0.615
Te2 Te 0.000 0.263 0.250
Te3 Te 0.000 0.311 0.584
# Formation energy from raw total energies (meV/atom): -122
# Total magnetization (μB/f.u.): 3.37
# Mass density (g cm⁻³): 5.9
# D(E_F) (states/eV/f.u.): 5.1

***

# VNiTe3 GGA-PBE optimized geometry
data_VNiTe3
_cell_length_a 7.153
_cell_length_b 4.000
_cell_length_c 10.300
_cell_angle_alpha 90.00
_cell_angle_beta 109.86
_cell_angle_gamma 90.00
_space_group_name_H-M_alt 'P 1 21/m 1'
_space_group_IT_number 11
loop_
_space_group_symop_operation_xyz
'x,y,z'
'-x,-y,-z'
'-x,y+1/2,-z'
'x,-y+1/2,z'
loop_
_atom_site_label
_atom_site_type_symbol
_atom_site_fract_x
_atom_site_fract_y
_atom_site_fract_z
V1 V 0.039 0.250 0.324
Ni1 Ni 0.491 0.250 0.838
Te1 Te 0.195 0.250 0.609
Te2 Te 0.223 0.750 0.253
Te3 Te 0.321 0.750 0.899
# Formation energy from raw total energies (meV/atom): -110
# Total magnetization (μB/f.u.): 1.76
# Mass density (g cm⁻³): 5.9
# D(E_F) (states/eV/f.u.): 4.2
# Energy above the most stable polymorph in this dataset (meV/atom): 0

***

# V3NiTe8 GGA-PBE optimized geometry
data_V3NiTe8
_cell_length_a 7.5720
_cell_length_b 7.5720
_cell_length_c 12.8383
_cell_angle_alpha 90.00
_cell_angle_beta 90.00
_cell_angle_gamma 120.00
_space_group_name_H-M_alt 'P 63 m c'
_space_group_IT_number 186
_space_group_name_Hall 'P 6c -2c'
loop_
_atom_site_label
_atom_site_type_symbol
_atom_site_fract_x
_atom_site_fract_y
_atom_site_fract_z
V1 V 0.1889 0.3779 0.0000
Ni1 Ni 0.3333 0.6667 0.2833
Te1 Te 0.0000 0.0000 0.1058
Te2 Te 0.0361 0.5180 0.1471
Te3 Te 0.1727 0.3455 0.4047
Te4 Te 0.3333 0.6667 0.8562
# Formation energy from raw total energies (meV/atom): -252
# Total magnetization (μB/f.u.): 3.23
# Mass density (g cm⁻³): 6.4
# D(E_F) (states/eV/f.u.): 2.5

***

# VNi2Te GGA-PBE optimized geometry
data_VNi2Te
_cell_length_a 3.841
_cell_length_b 3.841
_cell_length_c 17.330
_cell_angle_alpha 90.00
_cell_angle_beta 90.00
_cell_angle_gamma 90.00
_space_group_name_H-M_alt 'I -4 2 d'
_space_group_IT_number 122
_space_group_name_Hall 'I -4 2bw'
loop_
_atom_site_label
_atom_site_type_symbol
_atom_site_fract_x
_atom_site_fract_y
_atom_site_fract_z
V1 V 0.000 0.000 0.000
Ni1 Ni 0.235 0.250 0.125
Te1 Te 0.000 0.000 0.500
# Formation energy from raw total energies (meV/atom): 304
# Total magnetization (μB/f.u.): 1.90
# Mass density (g cm⁻³): 7.7
# D(E_F) (states/eV/f.u.): 5.0

***

# NiTeW2 GGA-PBE optimized geometry
data_NiTeW2
_cell_length_a 5.365
_cell_length_b 8.848
_cell_length_c 2.956
_cell_angle_alpha 90.00
_cell_angle_beta 109.04
_cell_angle_gamma 90.00
_space_group_name_H-M_alt 'C 1 2/m 1'
_space_group_IT_number 12
loop_
_space_group_symop_operation_xyz
'x,y,z'
'-x,-y,-z'
'-x,y,-z'
'x,-y,z'
'x+1/2,y+1/2,z'
'-x+1/2,-y+1/2,-z'
'-x+1/2,y+1/2,-z'
'x+1/2,-y+1/2,z'
loop_
_atom_site_label
_atom_site_type_symbol
_atom_site_fract_x
_atom_site_fract_y
_atom_site_fract_z
Ni1 Ni 0.000 0.000 0.000
Te1 Te 0.000 0.500 0.000
W1 W 0.250 0.250 0.500
# Formation energy from raw total energies (meV/atom): 750
# Total magnetization (μB/f.u.): 0.00
# Mass density (g cm⁻³): 13.9
# D(E_F) (states/eV/f.u.): 3.6

***

# NiTe2W GGA-PBE optimized geometry
data_NiTe2W
_cell_length_a 3.394
_cell_length_b 3.378
_cell_length_c 6.586
_cell_angle_alpha 90.00
_cell_angle_beta 96.78
_cell_angle_gamma 90.00
_space_group_name_H-M_alt 'P 1 2/m 1'
_space_group_IT_number 10
loop_
_space_group_symop_operation_xyz
'x,y,z'
'-x,-y,-z'
'-x,y,-z'
'x,-y,z'
loop_
_atom_site_label
_atom_site_type_symbol
_atom_site_fract_x
_atom_site_fract_y
_atom_site_fract_z
Ni1 Ni 0.000 0.000 0.000
Te1 Te 0.427 0.500 0.250
W1 W 0.000 0.000 0.500
# Formation energy from raw total energies (meV/atom): 430
# Total magnetization (μB/f.u.): 0.00
# Mass density (g cm⁻³): 11.0
# D(E_F) (states/eV/f.u.): 2.0
# Energy above the most stable polymorph in this dataset (meV/atom): 423

***

# NiTe2W GGA-PBE optimized geometry
data_NiTe2W
_cell_length_a 3.359
_cell_length_b 4.678
_cell_length_c 4.705
_cell_angle_alpha 90.00
_cell_angle_beta 90.00
_cell_angle_gamma 90.00
_space_group_name_H-M_alt 'P m m m'
_space_group_IT_number 47
loop_
_space_group_symop_operation_xyz
'x,y,z'
'-x,-y,-z'
'-x,-y,z'
'x,y,-z'
'x,-y,-z'
'-x,y,z'
'-x,y,-z'
'x,-y,z'
loop_
_atom_site_label
_atom_site_type_symbol
_atom_site_fract_x
_atom_site_fract_y
_atom_site_fract_z
Ni1 Ni 0.000 0.000 0.000
Te1 Te 0.500 0.000 0.500
Te2 Te 0.500 0.500 0.000
W1 W 0.000 0.500 0.500
# Formation energy from raw total energies (meV/atom): 633
# Total magnetization (μB/f.u.): 0.00
# Mass density (g cm⁻³): 11.2
# D(E_F) (states/eV/f.u.): 3.6
# Energy above the most stable polymorph in this dataset (meV/atom): 626

***

# NiTeW2 GGA-PBE optimized geometry
data_NiTeW2
_cell_length_a 5.391
_cell_length_b 7.902
_cell_length_c 3.066
_cell_angle_alpha 90.00
_cell_angle_beta 90.00
_cell_angle_gamma 90.00
_space_group_name_H-M_alt 'C m m m'
_space_group_IT_number 65
_space_group_name_Hall '-C 2 2'
loop_
_atom_site_label
_atom_site_type_symbol
_atom_site_fract_x
_atom_site_fract_y
_atom_site_fract_z
Ni1 Ni 0.000 0.000 0.000
Te1 Te 0.000 0.500 0.000
W1 W 0.250 0.250 0.500
# Formation energy from raw total energies (meV/atom): 764
# Total magnetization (μB/f.u.): 0.00
# Mass density (g cm⁻³): 14.1
# D(E_F) (states/eV/f.u.): 3.6

***

# NiTeW2 GGA-PBE optimized geometry
data_NiTeW2
_cell_length_a 4.055
_cell_length_b 4.055
_cell_length_c 7.830
_cell_angle_alpha 90.00
_cell_angle_beta 90.00
_cell_angle_gamma 90.00
_space_group_name_H-M_alt 'I -4 m 2'
_space_group_IT_number 119
_space_group_name_Hall 'I -4 -2'
loop_
_atom_site_label
_atom_site_type_symbol
_atom_site_fract_x
_atom_site_fract_y
_atom_site_fract_z
Ni1 Ni 0.000 0.000 0.000
Te1 Te 0.000 0.500 0.750
W1 W 0.000 0.000 0.500
W2 W 0.000 0.500 0.250
# Formation energy from raw total energies (meV/atom): 637
# Total magnetization (μB/f.u.): 0.00
# Mass density (g cm⁻³): 14.3
# D(E_F) (states/eV/f.u.): 4.6

***

# NiTeW2 GGA-PBE optimized geometry
data_NiTeW2
_cell_length_a 3.0178
_cell_length_b 3.0178
_cell_length_c 25.2184
_cell_angle_alpha 90.00
_cell_angle_beta 90.00
_cell_angle_gamma 120.00
_space_group_name_H-M_alt 'R -3 m'
_space_group_IT_number 166
_space_group_name_Hall '-R 3 2"'
loop_
_atom_site_label
_atom_site_type_symbol
_atom_site_fract_x
_atom_site_fract_y
_atom_site_fract_z
Ni1 Ni 0.0000 0.0000 0.0000
Te1 Te 0.0000 0.0000 0.5000
W1 W 0.0000 0.0000 0.2549
# Formation energy from raw total energies (meV/atom): 748
# Total magnetization (μB/f.u.): 0.00
# Mass density (g cm⁻³): 13.9
# D(E_F) (states/eV/f.u.): 3.3

***

# NiTe2W GGA-PBE optimized geometry
data_NiTe2W
_cell_length_a 3.365
_cell_length_b 3.365
_cell_length_c 6.550
_cell_angle_alpha 90.00
_cell_angle_beta 90.00
_cell_angle_gamma 90.00
_space_group_name_H-M_alt 'P 4/m m m'
_space_group_IT_number 123
_space_group_name_Hall '-P 4 2'
loop_
_atom_site_label
_atom_site_type_symbol
_atom_site_fract_x
_atom_site_fract_y
_atom_site_fract_z
Ni1 Ni 0.000 0.000 0.000
Te1 Te 0.500 0.500 0.250
W1 W 0.000 0.000 0.500
# Formation energy from raw total energies (meV/atom): 435
# Total magnetization (μB/f.u.): 0.00
# Mass density (g cm⁻³): 11.1
# D(E_F) (states/eV/f.u.): 1.9
# Energy above the most stable polymorph in this dataset (meV/atom): 428